Below is an optimized crystal structure of CsHgBiAu, with properties calculated at the GGA-PBE level.

POSCAR file:
```
CsHgBiAu
1.0
-2.072 -4.447 1.475
4.644 -1.561 1.817
-2.522 5.274 3.463
Bi Cs Hg Au
1 1 1 1
Direct
0.313 0.313 0.625 Bi
0.967 0.967 0.933 Cs
0.610 0.610 0.220 Hg
0.226 0.726 0.452 Au
```

Calculated values
* ΔH_f (0 K): -0.151 eV per atom
* space group: No. 44

---

Below is an optimized crystal structure of Li2HgP, with properties calculated at the GGA-PBE level.

POSCAR file:
```
Li2HgP
1.0
-3.343 0.008 2.634
-3.931 -1.622 0.172
1.212 -5.002 3.023
Li P Hg
2 1 1
Direct
0.986 0.986 0.060 Li
0.514 0.514 0.440 Li
0.250 0.250 0.250 P
0.750 0.750 0.750 Hg
```

Calculated values
* ΔH_f (0 K): -0.263 eV per atom
* space group: No. 12

---

Below is an optimized crystal structure of Na3ThTe6Pb2, with properties calculated at the GGA-PBE level.

POSCAR file:
```
Na3ThTe6Pb2
1.0
-2.183 -2.399 7.206
3.302 -5.122 -5.032
6.472 4.301 1.944
Te Na Pb Th
6 3 2 1
Direct
0.757 0.757 0.243 Te
0.243 0.243 0.757 Te
0.595 0.920 0.759 Te
0.405 0.080 0.241 Te
0.920 0.595 0.759 Te
0.080 0.405 0.241 Te
0.826 0.174 0.500 Na
0.174 0.826 0.500 Na
0.500 0.500 0.500 Na
0.335 0.665 0.000 Pb
0.665 0.335 0.000 Pb
0.000 0.000 0.000 Th
```

Calculated values
* space group: No. 12
* raw formation energy: -789 meV/atom

---

Below is an optimized crystal structure of LiHSeBrF, with properties calculated at the GGA-PBE level.

POSCAR file:
```
LiHSeBrF
1.0
-0.126 -2.523 -1.064
3.654 0.236 -0.980
2.678 -2.658 9.303
Li H Se F Br
1 1 1 1 1
Direct
0.574 0.044 0.339 Li
0.189 0.041 0.582 H
0.267 0.038 0.748 Se
0.127 0.043 0.452 F
0.489 0.544 0.160 Br
```

Calculated values
* total DFT energy (no corrections): -3.5010 eV/atom
* space group: No. 1

---

What did the first record say?
Below is an optimized crystal structure of CsHgBiAu, with properties calculated at the GGA-PBE level.

POSCAR file:
```
CsHgBiAu
1.0
-2.072 -4.447 1.475
4.644 -1.561 1.817
-2.522 5.274 3.463
Bi Cs Hg Au
1 1 1 1
Direct
0.313 0.313 0.625 Bi
0.967 0.967 0.933 Cs
0.610 0.610 0.220 Hg
0.226 0.726 0.452 Au
```

Calculated values
* ΔH_f (0 K): -0.151 eV per atom
* space group: No. 44

---

Please write out number 3 again, unchanged.
Below is an optimized crystal structure of Na3ThTe6Pb2, with properties calculated at the GGA-PBE level.

POSCAR file:
```
Na3ThTe6Pb2
1.0
-2.183 -2.399 7.206
3.302 -5.122 -5.032
6.472 4.301 1.944
Te Na Pb Th
6 3 2 1
Direct
0.757 0.757 0.243 Te
0.243 0.243 0.757 Te
0.595 0.920 0.759 Te
0.405 0.080 0.241 Te
0.920 0.595 0.759 Te
0.080 0.405 0.241 Te
0.826 0.174 0.500 Na
0.174 0.826 0.500 Na
0.500 0.500 0.500 Na
0.335 0.665 0.000 Pb
0.665 0.335 0.000 Pb
0.000 0.000 0.000 Th
```

Calculated values
* space group: No. 12
* raw formation energy: -789 meV/atom

---

> What is the formula in the fourth record?

LiHSeBrF